1.
Compound: KZrRe2
Source: Alexandria
Functional: SCAN
Structure: PBEsol geometry

Values from the calculation:
Density ... 8.59 g/cm³
Fermi-level density of states ... 3.5 states/eV/f.u.
Electronic total energy ... -179.072 eV/f.u.
Volume ... 24.29 Å³ per atom

Geometry as POSCAR:
```
KZrRe2
1.0
2.892 0.000 0.000
0.000 4.002 0.000
-1.391 0.000 8.398
K Zr Re
1 1 2
Cartesian
0.000 0.000 0.000
0.540 2.001 5.102
1.024 2.001 2.631
2.200 0.000 3.542
```

2.
Compound: KZrRe2
Source: Alexandria
Functional: SCAN
Structure: PBEsol geometry

Values from the calculation:
Density ... 10.22 g/cm³
Fermi-level density of states ... 2.8 states/eV/f.u.
Electronic total energy ... -177.330 eV/f.u.
Volume ... 20.42 Å³ per atom

Geometry as POSCAR:
```
KZrRe2
1.0
-1.596 2.517 5.086
1.596 -2.517 5.086
1.596 2.517 -5.086
K Zr Re
1 1 2
Cartesian
0.000 0.000 0.000
0.000 2.517 2.213
1.596 0.000 2.705
0.000 0.000 4.467
```

3.
Compound: KZrRe2
Source: Alexandria
Functional: SCAN
Structure: PBEsol geometry

Values from the calculation:
Density ... 11.69 g/cm³
Fermi-level density of states ... 3.5 states/eV/f.u.
Electronic total energy ... -175.713 eV/f.u.
Volume ... 17.86 Å³ per atom

Geometry as POSCAR:
```
KZrRe2
1.0
-1.906 1.906 4.917
1.906 -1.906 4.917
1.906 1.906 -4.917
K Zr Re
1 1 2
Cartesian
0.000 0.000 0.000
0.000 0.000 4.917
1.906 0.000 2.459
0.000 1.906 2.459
```

4.
Compound: KZrRe2
Source: Alexandria
Functional: SCAN
Structure: PBEsol geometry

Values from the calculation:
Density ... 11.25 g/cm³
Fermi-level density of states ... 4.7 states/eV/f.u.
Electronic total energy ... -174.769 eV/f.u.
Volume ... 18.55 Å³ per atom

Geometry as POSCAR:
```
KZrRe2
1.0
0.000 3.335 3.335
3.335 0.000 3.335
3.335 3.335 0.000
K Zr Re
1 1 2
Cartesian
0.000 0.000 0.000
3.335 3.335 3.335
1.668 1.668 1.668
5.003 5.003 5.003
```

5.
Compound: KRh2
Source: Alexandria
Functional: SCAN
Structure: PBEsol geometry

Values from the calculation:
Density ... 6.34 g/cm³
Fermi-level density of states ... 2.3 states/eV/f.u.
Electronic total energy ... -74.453 eV/f.u.
Volume ... 21.37 Å³ per atom

Geometry as POSCAR:
```
KRh2
1.0
-1.646 1.646 5.918
1.646 -1.646 5.918
1.646 1.646 -5.918
K Rh
1 2
Cartesian
0.000 0.000 0.000
0.000 0.000 3.358
0.000 0.000 8.478
```

6.
Compound: KRh3
Source: Alexandria
Functional: SCAN
Structure: PBEsol geometry

Values from the calculation:
Density ... 9.02 g/cm³
Fermi-level density of states ... 6.4 states/eV/f.u.
Electronic total energy ... -105.521 eV/f.u.
Volume ... 16.01 Å³ per atom

Geometry as POSCAR:
```
KRh3
1.0
4.001 0.000 0.000
0.000 4.001 0.000
0.000 0.000 4.001
K Rh
1 3
Cartesian
0.000 0.000 0.000
0.000 2.000 2.000
2.000 0.000 2.000
2.000 2.000 0.000
```

7.
Compound: KRh4
Source: Alexandria
Functional: SCAN
Structure: PBEsol geometry

Values from the calculation:
Density ... 8.38 g/cm³
Fermi-level density of states ... 5.7 states/eV/f.u.
Electronic total energy ... -140.706 eV/f.u.
Volume ... 17.87 Å³ per atom

Geometry as POSCAR:
```
KRh4
1.0
-2.052 2.052 5.305
2.052 -2.052 5.305
2.052 2.052 -5.305
K Rh
1 4
Cartesian
0.000 0.000 0.000
2.052 0.000 2.653
0.000 0.000 4.133
0.000 0.000 6.477
0.000 2.052 2.653
```

8.
Compound: KRh3S
Source: Alexandria
Functional: SCAN
Structure: PBEsol geometry

Values from the calculation:
Density ... 6.46 g/cm³
Fermi-level density of states ... 5.5 states/eV/f.u.
Formation energy without anion corrections ... 2.4775 eV per atom
Electronic total energy ... -106.884 eV/f.u.
Volume ... 19.53 Å³ per atom

Geometry as POSCAR:
```
KRh3S
1.0
4.605 0.000 0.000
0.000 4.605 0.000
0.000 0.000 4.605
K Rh S
1 3 1
Cartesian
0.000 0.000 0.000
0.000 0.000 2.302
0.000 2.302 0.000
2.302 0.000 0.000
2.302 2.302 2.302
```

9.
Compound: KRhS3
Source: Alexandria
Functional: SCAN
Structure: PBEsol geometry

Values from the calculation:
Density ... 3.83 g/cm³
Fermi-level density of states ... 4.5 states/eV/f.u.
Formation energy without anion corrections ... -0.2232 eV per atom
Electronic total energy ... -72.101 eV/f.u.
Volume ... 20.64 Å³ per atom

Geometry as POSCAR:
```
KRhS3
1.0
4.691 0.000 0.000
0.000 4.691 0.000
0.000 0.000 4.691
K Rh S
1 1 3
Cartesian
0.000 0.000 0.000
2.345 2.345 2.345
0.000 2.345 2.345
2.345 0.000 2.345
2.345 2.345 0.000
```

10.
Compound: KRh3S
Source: Alexandria
Functional: SCAN
Structure: PBEsol geometry

Values from the calculation:
Density ... 7.27 g/cm³
Fermi-level density of states ... 4.2 states/eV/f.u.
Formation energy without anion corrections ... 0.1436 eV per atom
Electronic total energy ... -118.553 eV/f.u.
Volume ... 17.34 Å³ per atom

Geometry as POSCAR:
```
KRh3S
1.0
4.426 0.000 0.000
0.000 4.426 0.000
0.000 0.000 4.426
K Rh S
1 3 1
Cartesian
0.000 0.000 0.000
0.000 2.213 2.213
2.213 0.000 2.213
2.213 2.213 0.000
2.213 2.213 2.213
```

11.
Compound: KSi2RhS
Source: Alexandria
Functional: SCAN
Structure: PBEsol geometry

Values from the calculation:
Density ... 3.69 g/cm³
Fermi-level density of states ... 2.4 states/eV/f.u.
Formation energy without anion corrections ... 1.0452 eV per atom
Electronic total energy ... -66.534 eV/f.u.
Volume ... 20.70 Å³ per atom

Geometry as POSCAR:
```
KSi2RhS
1.0
4.501 0.000 0.000
0.000 4.501 0.000
0.000 0.000 5.111
K Si Rh S
1 2 1 1
Cartesian
0.000 0.000 0.000
0.000 2.250 2.555
2.250 0.000 2.555
2.250 2.250 0.000
0.000 0.000 2.555
```

12.
Compound: KSbRh
Source: Alexandria
Functional: SCAN
Structure: PBEsol geometry

Values from the calculation:
Density ... 5.60 g/cm³
Fermi-level density of states ... 2.9 states/eV/f.u.
Formation energy without anion corrections ... 1.2105 eV per atom
Electronic total energy ... -75.730 eV/f.u.
Volume ... 26.09 Å³ per atom

Geometry as POSCAR:
```
KSbRh
1.0
0.000 3.395 3.395
3.395 0.000 3.395
3.395 3.395 0.000
K Sb Rh
1 1 1
Cartesian
0.000 0.000 0.000
1.697 1.697 1.697
5.092 5.092 5.092
```

13.
Compound: KSbRh2
Source: Alexandria
Functional: SCAN
Structure: PBEsol geometry

Values from the calculation:
Density ... 6.26 g/cm³
Fermi-level density of states ... 3.8 states/eV/f.u.
Formation energy without anion corrections ... -0.1772 eV per atom
Electronic total energy ... -113.841 eV/f.u.
Volume ... 24.31 Å³ per atom

Geometry as POSCAR:
```
KSbRh2
1.0
2.181 1.259 5.898
-2.181 1.259 5.898
0.000 -2.519 5.898
K Sb Rh
1 1 2
Cartesian
0.000 0.000 0.000
0.000 0.000 8.847
0.000 0.000 3.503
0.000 0.000 14.191
```

14.
Compound: K2SbRh
Source: Alexandria
Functional: SCAN
Structure: PBEsol geometry

Values from the calculation:
Density ... 5.04 g/cm³
Fermi-level density of states ... 3.0 states/eV/f.u.
Formation energy without anion corrections ... 0.2976 eV per atom
Electronic total energy ... -86.499 eV/f.u.
Volume ... 24.95 Å³ per atom

Geometry as POSCAR:
```
K2SbRh
1.0
3.075 0.000 0.000
0.000 3.075 0.000
0.000 0.000 10.555
K Sb Rh
2 1 1
Cartesian
0.000 0.000 2.421
0.000 0.000 8.134
1.538 1.538 5.278
1.538 1.538 0.000
```

15.
Compound: KSbRh2
Source: Alexandria
Functional: SCAN
Structure: PBEsol geometry

Values from the calculation:
Density ... 8.47 g/cm³
Fermi-level density of states ... 3.1 states/eV/f.u.
Formation energy without anion corrections ... 0.4276 eV per atom
Electronic total energy ... -111.422 eV/f.u.
Volume ... 17.97 Å³ per atom

Geometry as POSCAR:
```
KSbRh2
1.0
-1.991 1.991 4.532
1.991 -1.991 4.532
1.991 1.991 -4.532
K Sb Rh
1 1 2
Cartesian
0.000 0.000 0.000
1.991 0.000 2.266
0.000 0.000 4.532
0.000 1.991 2.266
```

16.
Compound: KSbRh2
Source: Alexandria
Functional: SCAN
Structure: PBEsol geometry

Values from the calculation:
Density ... 7.44 g/cm³
Fermi-level density of states ... 2.6 states/eV/f.u.
Formation energy without anion corrections ... 0.1156 eV per atom
Electronic total energy ... -112.670 eV/f.u.
Volume ... 20.46 Å³ per atom

Geometry as POSCAR:
```
KSbRh2
1.0
3.125 0.000 0.000
0.000 3.125 0.000
0.000 0.000 8.382
K Sb Rh
1 1 2
Cartesian
0.000 0.000 0.000
1.562 1.562 5.483
0.000 0.000 3.951
1.562 1.562 2.433
```